{
  "formula": "KTa2O",
  "functional": "PBE-GGA",
  "state": "relaxed",
  "cell": [[6.520, 0.000, 0.000], [0.000, 6.520, 0.000], [3.260, 3.260, 4.615]],
  "species": ["K", "K", "O", "O", "Ta", "Ta", "Ta", "Ta"],
  "fractional_positions": [[0.000, 0.000, 0.000], [0.750, 0.250, 0.500], [0.500, 0.500, 0.000], [0.250, 0.750, 0.500], [0.375, 0.125, 0.250], [0.375, 0.625, 0.250], [0.375, 0.625, 0.750], [0.875, 0.625, 0.750]],
  "space_group": "Fd-3m",
  "e_form_raw_mev_per_atom": 159.9,
  "dos_ef_per_ev_cell": 2.1
}